# NaCd2Pt (PBE, relaxed)
# ΔH_f (0 K)	-0.63	eV per formula unit
# distance to the lowest polymorph of the same formula	106.4	meV per atom
# ρ	8.984	g/cm³
# spin magnetization	0.00	μB/cell
data_NaCd2Pt
_cell_length_a 3.549
_cell_length_b 3.549
_cell_length_c 6.498
_cell_angle_alpha 90.00
_cell_angle_beta 90.00
_cell_angle_gamma 90.00
_space_group_name_H-M_alt 'P 4/m m m'
_space_group_IT_number 123
_space_group_name_Hall '-P 4 2'
loop_
_atom_site_label
_atom_site_fract_x
_atom_site_fract_y
_atom_site_fract_z
Na1 0.000 0.000 0.000
Cd1 0.500 0.500 0.278
Pt1 0.000 0.000 0.500